Density functional theory data (PBE with a Hubbard U) for a geometry-optimized CrIn2SiO6 structure.

Computed properties:
- E (eV per atom) = -6.63
- crystal system = triclinic

The structure in POSCAR format:
```
CrIn2SiO6
1.0
5.343 -0.110 0.150
2.574 4.484 -0.016
2.768 1.366 4.703
O Si Cr In
6 1 1 2
direct
0.435 0.673 0.774 O
0.135 0.410 0.801 O
0.547 0.237 0.226 O
0.674 0.110 0.785 O
0.204 0.977 0.255 O
0.975 0.570 0.251 O
0.324 0.316 0.037 Si
0.821 0.807 0.565 Cr
0.020 0.023 0.922 In
0.527 0.539 0.399 In
```